No. 1
VASP calculation (PBE) on CsGe4S7 after structural relaxation.

The structure in CIF format:
```
data_CsGe4S7
_chemical_formula_sum 'Cs2 Ge8 S14'
_cell_length_a 15.095
_cell_length_b 6.315
_cell_length_c 7.084
_cell_angle_alpha 90.00
_cell_angle_beta 90.00
_cell_angle_gamma 90.00
_symmetry_space_group_name_H-M 'P m n 21'
_symmetry_Int_Tables_number 31
loop_
_symmetry_equiv_pos_as_xyz
'x,y,z'
'-x+1/2,-y,z+1/2'
'-x,y,z'
'x+1/2,-y,z+1/2'
loop_
_atom_site_label
_atom_site_type_symbol
_atom_site_fract_x
_atom_site_fract_y
_atom_site_fract_z
Cs1 Cs 0.000 0.178 0.000
Ge1 Ge 0.122 0.720 0.426
Ge2 Ge 0.247 0.253 0.434
S1 S 0.000 0.910 0.510
S2 S 0.121 0.673 0.113
S3 S 0.123 0.413 0.584
S4 S 0.237 0.903 0.547
```

Values from the calculation:
Calculated density: 3187 kg/m³

No. 2
VASP calculation (PBE) on CsGeS3 after structural relaxation.

The structure in CIF format:
```
data_CsGeS3
_chemical_formula_sum 'Cs1 Ge1 S3'
_cell_length_a 4.982
_cell_length_b 4.982
_cell_length_c 4.982
_cell_angle_alpha 90.00
_cell_angle_beta 90.00
_cell_angle_gamma 90.00
_symmetry_space_group_name_H-M 'P m -3 m'
_symmetry_Int_Tables_number 221
_symmetry_space_group_name_Hall '-P 4 2 3'
loop_
_atom_site_label
_atom_site_type_symbol
_atom_site_fract_x
_atom_site_fract_y
_atom_site_fract_z
Cs1 Cs 0.000 0.000 0.000
Ge1 Ge 0.500 0.500 0.500
S1 S 0.000 0.500 0.500
```

Values from the calculation:
Calculated density: 4053 kg/m³

No. 3
VASP calculation (PBE) on CsGe2S2 after structural relaxation.

The structure in CIF format:
```
data_CsGe2S2
_chemical_formula_sum 'Cs2 Ge4 S4'
_cell_length_a 4.913
_cell_length_b 4.913
_cell_length_c 11.221
_cell_angle_alpha 90.00
_cell_angle_beta 90.00
_cell_angle_gamma 90.00
_symmetry_space_group_name_H-M 'I 4/m m m'
_symmetry_Int_Tables_number 139
_symmetry_space_group_name_Hall '-I 4 2'
loop_
_atom_site_label
_atom_site_type_symbol
_atom_site_fract_x
_atom_site_fract_y
_atom_site_fract_z
Cs1 Cs 0.000 0.000 0.000
Ge1 Ge 0.000 0.000 0.332
S1 S 0.000 0.500 0.250
```

Values from the calculation:
Calculated density: 4197 kg/m³

No. 4
VASP calculation (PBE) on CsGe3S after structural relaxation.

The structure in CIF format:
```
data_CsGe3S
_chemical_formula_sum 'Cs1 Ge3 S1'
_cell_length_a 5.240
_cell_length_b 5.240
_cell_length_c 5.240
_cell_angle_alpha 90.00
_cell_angle_beta 90.00
_cell_angle_gamma 90.00
_symmetry_space_group_name_H-M 'P m -3 m'
_symmetry_Int_Tables_number 221
_symmetry_space_group_name_Hall '-P 4 2 3'
loop_
_atom_site_label
_atom_site_type_symbol
_atom_site_fract_x
_atom_site_fract_y
_atom_site_fract_z
Cs1 Cs 0.000 0.000 0.000
Ge1 Ge 0.000 0.500 0.500
S1 S 0.500 0.500 0.500
```

Values from the calculation:
Relative energy among the computed polymorphs: 0.0 kJ per mole of atoms
Calculated density: 4418 kg/m³

No. 5
VASP calculation (PBE) on CsGeS3 after structural relaxation.

The structure in CIF format:
```
data_CsGeS3
_chemical_formula_sum 'Cs4 Ge4 S12'
_cell_length_a 7.658
_cell_length_b 12.977
_cell_length_c 6.614
_cell_angle_alpha 90.00
_cell_angle_beta 102.14
_cell_angle_gamma 90.00
_symmetry_space_group_name_H-M 'P 1 21/c 1'
_symmetry_Int_Tables_number 14
loop_
_symmetry_equiv_pos_as_xyz
'x,y,z'
'-x,-y,-z'
'-x,y+1/2,-z+1/2'
'x,-y+1/2,z+1/2'
loop_
_atom_site_label
_atom_site_type_symbol
_atom_site_fract_x
_atom_site_fract_y
_atom_site_fract_z
Cs1 Cs 0.241 0.071 0.216
Ge1 Ge 0.278 0.722 0.333
S1 S 0.047 0.680 0.848
S2 S 0.215 0.567 0.203
S3 S 0.462 0.699 0.648
```

Values from the calculation:
Calculated density: 3119 kg/m³

No. 6
VASP calculation (PBE) on Cs3GeS3 after structural relaxation.

The structure in CIF format:
```
data_Cs3GeS3
_chemical_formula_sum 'Cs24 Ge8 S24'
_cell_length_a 20.281
_cell_length_b 7.484
_cell_length_c 13.791
_cell_angle_alpha 90.00
_cell_angle_beta 90.00
_cell_angle_gamma 90.00
_symmetry_space_group_name_H-M 'C m c e'
_symmetry_Int_Tables_number 64
_symmetry_space_group_name_Hall '-C 2ac 2'
loop_
_atom_site_label
_atom_site_type_symbol
_atom_site_fract_x
_atom_site_fract_y
_atom_site_fract_z
Cs1 Cs 0.000 0.139 0.169
Cs2 Cs 0.176 0.154 0.870
Ge1 Ge 0.080 0.000 0.500
S1 S 0.000 0.212 0.422
S2 S 0.148 0.147 0.612
```

Values from the calculation:
Calculated density: 3602 kg/m³

No. 7
VASP calculation (PBE) on CsGeS4 after structural relaxation.

The structure in CIF format:
```
data_CsGeS4
_chemical_formula_sum 'Cs4 Ge4 S16'
_cell_length_a 8.015
_cell_length_b 27.111
_cell_length_c 5.414
_cell_angle_alpha 90.00
_cell_angle_beta 132.28
_cell_angle_gamma 90.00
_symmetry_space_group_name_H-M 'C 1 2/c 1'
_symmetry_Int_Tables_number 15
loop_
_symmetry_equiv_pos_as_xyz
'x,y,z'
'-x,-y,-z'
'-x,y,-z+1/2'
'x,-y,z+1/2'
'x+1/2,y+1/2,z'
'-x+1/2,-y+1/2,-z'
'-x+1/2,y+1/2,-z+1/2'
'x+1/2,-y+1/2,z+1/2'
loop_
_atom_site_label
_atom_site_type_symbol
_atom_site_fract_x
_atom_site_fract_y
_atom_site_fract_z
Cs1 Cs 0.000 0.086 0.250
Ge1 Ge 0.000 0.250 0.750
S1 S 0.165 0.475 0.915
S2 S 0.249 0.204 0.780
```

Values from the calculation:
Calculated density: 2547 kg/m³

No. 8
VASP calculation (PBE) on CsGeS after structural relaxation.

The structure in CIF format:
```
data_CsGeS
_chemical_formula_sum 'Cs4 Ge4 S4'
_cell_length_a 10.173
_cell_length_b 5.737
_cell_length_c 8.409
_cell_angle_alpha 90.00
_cell_angle_beta 122.36
_cell_angle_gamma 90.00
_symmetry_space_group_name_H-M 'C 1 2/m 1'
_symmetry_Int_Tables_number 12
loop_
_symmetry_equiv_pos_as_xyz
'x,y,z'
'-x,-y,-z'
'-x,y,-z'
'x,-y,z'
'x+1/2,y+1/2,z'
'-x+1/2,-y+1/2,-z'
'-x+1/2,y+1/2,-z'
'x+1/2,-y+1/2,z'
loop_
_atom_site_label
_atom_site_type_symbol
_atom_site_fract_x
_atom_site_fract_y
_atom_site_fract_z
Cs1 Cs 0.075 0.000 0.319
Ge1 Ge 0.150 0.500 0.074
S1 S 0.161 0.500 0.817
```

Values from the calculation:
Calculated density: 3807 kg/m³

No. 9
VASP calculation (PBE) on CsGeS3 after structural relaxation.

The structure in CIF format:
```
data_CsGeS3
_chemical_formula_sum 'Cs1 Ge1 S3'
_cell_length_a 5.437
_cell_length_b 5.437
_cell_length_c 5.437
_cell_angle_alpha 90.00
_cell_angle_beta 90.00
_cell_angle_gamma 90.00
_symmetry_space_group_name_H-M 'P m -3 m'
_symmetry_Int_Tables_number 221
_symmetry_space_group_name_Hall '-P 4 2 3'
loop_
_atom_site_label
_atom_site_type_symbol
_atom_site_fract_x
_atom_site_fract_y
_atom_site_fract_z
Cs1 Cs 0.000 0.000 0.000
Ge1 Ge 0.500 0.500 0.500
S1 S 0.000 0.000 0.500
```

Values from the calculation:
Calculated density: 3118 kg/m³

No. 10
VASP calculation (PBE) on Cs2GeS after structural relaxation.

The structure in CIF format:
```
data_Cs2GeS
_chemical_formula_sum 'Cs8 Ge4 S4'
_cell_length_a 13.138
_cell_length_b 13.138
_cell_length_c 5.022
_cell_angle_alpha 90.00
_cell_angle_beta 90.00
_cell_angle_gamma 90.00
_symmetry_space_group_name_H-M 'I -4 2 d'
_symmetry_Int_Tables_number 122
_symmetry_space_group_name_Hall 'I -4 2bw'
loop_
_atom_site_label
_atom_site_type_symbol
_atom_site_fract_x
_atom_site_fract_y
_atom_site_fract_z
Cs1 Cs 0.059 0.250 0.125
Ge1 Ge 0.000 0.000 0.500
S1 S 0.000 0.000 0.000
```

Values from the calculation:
Relative energy among the computed polymorphs: 0.0 kJ per mole of atoms
Calculated density: 2839 kg/m³

No. 11
VASP calculation (PBE) on Cs2GeS after structural relaxation.

The structure in CIF format:
```
data_Cs2GeS
_chemical_formula_sum 'Cs8 Ge4 S4'
_cell_length_a 8.610
_cell_length_b 8.610
_cell_length_c 8.610
_cell_angle_alpha 90.00
_cell_angle_beta 90.00
_cell_angle_gamma 90.00
_symmetry_space_group_name_H-M 'F m -3 m'
_symmetry_Int_Tables_number 225
_symmetry_space_group_name_Hall '-F 4 2 3'
loop_
_atom_site_label
_atom_site_type_symbol
_atom_site_fract_x
_atom_site_fract_y
_atom_site_fract_z
Cs1 Cs 0.250 0.250 0.250
Ge1 Ge 0.000 0.000 0.000
S1 S 0.000 0.000 0.500
```

Values from the calculation:
Relative energy among the computed polymorphs: 24.2 kJ per mole of atoms
Calculated density: 3856 kg/m³

No. 12
VASP calculation (PBE) on CsGeS3 after structural relaxation.

The structure in CIF format:
```
data_CsGeS3
_chemical_formula_sum 'Cs8 Ge8 S24'
_cell_length_a 9.998
_cell_length_b 15.981
_cell_length_c 10.238
_cell_angle_alpha 90.00
_cell_angle_beta 111.48
_cell_angle_gamma 90.00
_symmetry_space_group_name_H-M 'C 1 2/c 1'
_symmetry_Int_Tables_number 15
loop_
_symmetry_equiv_pos_as_xyz
'x,y,z'
'-x,-y,-z'
'-x,y,-z+1/2'
'x,-y,z+1/2'
'x+1/2,y+1/2,z'
'-x+1/2,-y+1/2,-z'
'-x+1/2,y+1/2,-z+1/2'
'x+1/2,-y+1/2,z+1/2'
loop_
_atom_site_label
_atom_site_type_symbol
_atom_site_fract_x
_atom_site_fract_y
_atom_site_fract_z
Cs1 Cs 0.000 0.121 0.250
Cs2 Cs 0.000 0.285 0.750
Ge1 Ge 0.206 0.391 0.205
S1 S 0.031 0.490 0.165
S2 S 0.197 0.098 0.945
S3 S 0.241 0.307 0.370
```

Values from the calculation:
Calculated density: 2634 kg/m³

Summary of energy relative to the elements, uncorrected in eV per atom
-0.43, -0.13, -0.37, 0.47, -0.57, -0.89, -0.44, -0.46, 1.33, -0.24, 0.01, -0.54
(order as listed above)